i:
# PBE Ca2AcGa, optimized geometry
data_Ca2AcGa
_space_group_name_H-M_alt 'P 1'
_space_group_IT_number 1
_space_group_name_Hall 'P 1'
_cell_length_a 3.7161
_cell_length_b 3.7161
_cell_length_c 9.8742
_cell_angle_alpha 90.00
_cell_angle_beta 90.00
_cell_angle_gamma 90.00
loop_
_atom_site_label
_atom_site_type_symbol
_atom_site_fract_x
_atom_site_fract_y
_atom_site_fract_z
_atom_site_occupancy
Ca1 Ca 0.0000 0.0000 0.1860 1
Ca2 Ca 0.0000 0.0000 0.8140 1
Ac1 Ac 0.5000 0.5000 0.5000 1
Ga1 Ga 0.5000 0.5000 0.0000 1
# DOS at the Fermi energy in states/eV/cell: 4.3
# Space group: P4/mmm (123)

ii:
# PBE Ca2AcGa, optimized geometry
data_Ca2AcGa
_space_group_name_H-M_alt 'P 1'
_space_group_IT_number 1
_space_group_name_Hall 'P 1'
_cell_length_a 8.1167
_cell_length_b 8.1167
_cell_length_c 8.1167
_cell_angle_alpha 90.00
_cell_angle_beta 90.00
_cell_angle_gamma 90.00
loop_
_atom_site_label
_atom_site_type_symbol
_atom_site_fract_x
_atom_site_fract_y
_atom_site_fract_z
_atom_site_occupancy
Ca1 Ca 0.2500 0.2500 0.2500 1
Ca2 Ca 0.2500 0.2500 0.7500 1
Ca3 Ca 0.2500 0.7500 0.2500 1
Ca4 Ca 0.2500 0.7500 0.7500 1
Ca5 Ca 0.7500 0.2500 0.2500 1
Ca6 Ca 0.7500 0.2500 0.7500 1
Ca7 Ca 0.7500 0.7500 0.2500 1
Ca8 Ca 0.7500 0.7500 0.7500 1
Ac1 Ac 0.0000 0.0000 0.0000 1
Ac2 Ac 0.0000 0.5000 0.5000 1
Ac3 Ac 0.5000 0.0000 0.5000 1
Ac4 Ac 0.5000 0.5000 0.0000 1
Ga1 Ga 0.0000 0.0000 0.5000 1
Ga2 Ga 0.0000 0.5000 0.0000 1
Ga3 Ga 0.5000 0.0000 0.0000 1
Ga4 Ga 0.5000 0.5000 0.5000 1
# DOS at the Fermi energy in states/eV/cell: 21.4
# Space group: Fm-3m (225)

Most stable: i

i:
# PBE CaAc3Ga2, optimized geometry
data_CaAc3Ga2
_space_group_name_H-M_alt 'P 1'
_space_group_IT_number 1
_space_group_name_Hall 'P 1'
_cell_length_a 9.4534
_cell_length_b 9.4534
_cell_length_c 9.4534
_cell_angle_alpha 132.89
_cell_angle_beta 70.78
_cell_angle_gamma 130.45
loop_
_atom_site_label
_atom_site_type_symbol
_atom_site_fract_x
_atom_site_fract_y
_atom_site_fract_z
_atom_site_occupancy
Ca1 Ca 0.0000 0.0000 0.0000 1
Ca2 Ca 0.5000 0.5000 0.0000 1
Ac1 Ac 0.0192 0.2500 0.7692 1
Ac2 Ac 0.2500 0.7500 0.5000 1
Ac3 Ac 0.4808 0.2500 0.2308 1
Ac4 Ac 0.5192 0.7500 0.7692 1
Ac5 Ac 0.7500 0.2500 0.5000 1
Ac6 Ac 0.9808 0.7500 0.2308 1
Ga1 Ga 0.1351 0.7128 0.8479 1
Ga2 Ga 0.3649 0.2128 0.5778 1
Ga3 Ga 0.6351 0.7872 0.4222 1
Ga4 Ga 0.8649 0.2872 0.1521 1
# DOS at the Fermi energy in states/eV/cell: 16.1
# Space group: Ibam (72)

ii:
# PBE CaAc3Ga2, optimized geometry
data_CaAc3Ga2
_space_group_name_H-M_alt 'P 1'
_space_group_IT_number 1
_space_group_name_Hall 'P 1'
_cell_length_a 5.5087
_cell_length_b 10.1365
_cell_length_c 7.2021
_cell_angle_alpha 90.00
_cell_angle_beta 90.00
_cell_angle_gamma 90.00
loop_
_atom_site_label
_atom_site_type_symbol
_atom_site_fract_x
_atom_site_fract_y
_atom_site_fract_z
_atom_site_occupancy
Ca1 Ca 0.0000 0.0572 0.0000 1
Ca2 Ca 0.0000 0.9428 0.5000 1
Ac1 Ac 0.0000 0.3222 0.6619 1
Ac2 Ac 0.0000 0.6778 0.1619 1
Ac3 Ac 0.5000 0.1619 0.3035 1
Ac4 Ac 0.5000 0.4445 0.9787 1
Ac5 Ac 0.5000 0.5555 0.4787 1
Ac6 Ac 0.5000 0.8381 0.8035 1
Ga1 Ga 0.0000 0.3455 0.1986 1
Ga2 Ga 0.0000 0.6545 0.6986 1
Ga3 Ga 0.5000 0.1537 0.7721 1
Ga4 Ga 0.5000 0.8463 0.2721 1
# DOS at the Fermi energy in states/eV/cell: 10.2
# Space group: Pmc2_1 (26)

Most stable: ii

i:
# PBE CaAc2Ga2, optimized geometry
data_CaAc2Ga2
_space_group_name_H-M_alt 'P 1'
_space_group_IT_number 1
_space_group_name_Hall 'P 1'
_cell_length_a 8.2435
_cell_length_b 8.2435
_cell_length_c 4.7514
_cell_angle_alpha 90.00
_cell_angle_beta 90.00
_cell_angle_gamma 90.00
loop_
_atom_site_label
_atom_site_type_symbol
_atom_site_fract_x
_atom_site_fract_y
_atom_site_fract_z
_atom_site_occupancy
Ca1 Ca 0.0000 0.0000 0.0000 1
Ca2 Ca 0.5000 0.5000 0.0000 1
Ac1 Ac 0.1748 0.3252 0.5000 1
Ac2 Ac 0.3252 0.8252 0.5000 1
Ac3 Ac 0.6748 0.1748 0.5000 1
Ac4 Ac 0.8252 0.6748 0.5000 1
Ga1 Ga 0.1146 0.6146 0.0000 1
Ga2 Ga 0.3854 0.1146 0.0000 1
Ga3 Ga 0.6146 0.8854 0.0000 1
Ga4 Ga 0.8854 0.3854 0.0000 1
# DOS at the Fermi energy in states/eV/cell: 15.5
# Space group: P4/mbm (127)

ii:
# PBE CaAc2Ga2, optimized geometry
data_CaAc2Ga2
_space_group_name_H-M_alt 'P 1'
_space_group_IT_number 1
_space_group_name_Hall 'P 1'
_cell_length_a 6.8665
_cell_length_b 6.8665
_cell_length_c 11.7002
_cell_angle_alpha 117.74
_cell_angle_beta 117.74
_cell_angle_gamma 42.17
loop_
_atom_site_label
_atom_site_type_symbol
_atom_site_fract_x
_atom_site_fract_y
_atom_site_fract_z
_atom_site_occupancy
Ca1 Ca 0.2108 0.2108 0.3700 1
Ca2 Ca 0.7892 0.7892 0.6300 1
Ac1 Ac 0.3140 0.3140 0.8967 1
Ac2 Ac 0.4691 0.4691 0.3056 1
Ac3 Ac 0.5309 0.5309 0.6944 1
Ac4 Ac 0.6860 0.6860 0.1033 1
Ga1 Ga 0.0271 0.0271 0.9030 1
Ga2 Ga 0.1181 0.1181 0.5720 1
Ga3 Ga 0.8819 0.8819 0.4280 1
Ga4 Ga 0.9729 0.9729 0.0970 1
# DOS at the Fermi energy in states/eV/cell: 11.3
# Space group: C2/m (12)

Most stable: i

i:
# PBE Ca2AcGa2, optimized geometry
data_Ca2AcGa2
_space_group_name_H-M_alt 'P 1'
_space_group_IT_number 1
_space_group_name_Hall 'P 1'
_cell_length_a 14.1362
_cell_length_b 14.1362
_cell_length_c 4.5078
_cell_angle_alpha 90.00
_cell_angle_beta 90.00
_cell_angle_gamma 160.17
loop_
_atom_site_label
_atom_site_type_symbol
_atom_site_fract_x
_atom_site_fract_y
_atom_site_fract_z
_atom_site_occupancy
Ca1 Ca 0.0531 0.9469 0.7500 1
Ca2 Ca 0.2516 0.7484 0.2500 1
Ca3 Ca 0.7484 0.2516 0.7500 1
Ca4 Ca 0.9469 0.0531 0.2500 1
Ac1 Ac 0.3633 0.6367 0.7500 1
Ac2 Ac 0.6367 0.3633 0.2500 1
Ga1 Ga 0.1716 0.8284 0.7500 1
Ga2 Ga 0.4766 0.5234 0.7500 1
Ga3 Ga 0.5234 0.4766 0.2500 1
Ga4 Ga 0.8284 0.1716 0.2500 1
# DOS at the Fermi energy in states/eV/cell: 8.1
# Space group: Cmcm (63)

ii:
# PBE Ca2AcGa2, optimized geometry
data_Ca2AcGa2
_space_group_name_H-M_alt 'P 1'
_space_group_IT_number 1
_space_group_name_Hall 'P 1'
_cell_length_a 5.5785
_cell_length_b 4.3726
_cell_length_c 12.8005
_cell_angle_alpha 90.00
_cell_angle_beta 97.18
_cell_angle_gamma 90.00
loop_
_atom_site_label
_atom_site_type_symbol
_atom_site_fract_x
_atom_site_fract_y
_atom_site_fract_z
_atom_site_occupancy
Ca1 Ca 0.1474 0.2500 0.1081 1
Ca2 Ca 0.2544 0.7500 0.5150 1
Ca3 Ca 0.7456 0.2500 0.4850 1
Ca4 Ca 0.8526 0.7500 0.8919 1
Ac1 Ac 0.3286 0.2500 0.7676 1
Ac2 Ac 0.6714 0.7500 0.2324 1
Ga1 Ga 0.2057 0.2500 0.3448 1
Ga2 Ga 0.3730 0.7500 0.9786 1
Ga3 Ga 0.6270 0.2500 0.0214 1
Ga4 Ga 0.7943 0.7500 0.6552 1
# DOS at the Fermi energy in states/eV/cell: 8.0
# Space group: P2_1/m (11)

Most stable: i

i:
# PBE CaAcGaNi, optimized geometry
data_CaAcGaNi
_space_group_name_H-M_alt 'P 1'
_space_group_IT_number 1
_space_group_name_Hall 'P 1'
_cell_length_a 7.4109
_cell_length_b 7.4109
_cell_length_c 7.4109
_cell_angle_alpha 90.00
_cell_angle_beta 90.00
_cell_angle_gamma 90.00
loop_
_atom_site_label
_atom_site_type_symbol
_atom_site_fract_x
_atom_site_fract_y
_atom_site_fract_z
_atom_site_occupancy
Ca1 Ca 0.0000 0.0000 0.0000 1
Ca2 Ca 0.0000 0.5000 0.5000 1
Ca3 Ca 0.5000 0.0000 0.5000 1
Ca4 Ca 0.5000 0.5000 0.0000 1
Ac1 Ac 0.0000 0.0000 0.5000 1
Ac2 Ac 0.0000 0.5000 0.0000 1
Ac3 Ac 0.5000 0.0000 0.0000 1
Ac4 Ac 0.5000 0.5000 0.5000 1
Ga1 Ga 0.2500 0.2500 0.2500 1
Ga2 Ga 0.2500 0.7500 0.7500 1
Ga3 Ga 0.7500 0.2500 0.7500 1
Ga4 Ga 0.7500 0.7500 0.2500 1
Ni1 Ni 0.2500 0.2500 0.7500 1
Ni2 Ni 0.2500 0.7500 0.2500 1
Ni3 Ni 0.7500 0.2500 0.2500 1
Ni4 Ni 0.7500 0.7500 0.7500 1
# DOS at the Fermi energy in states/eV/cell: 16.4
# Space group: F-43m (216)

ii:
# PBE CaAcGaNi, optimized geometry
data_CaAcGaNi
_space_group_name_H-M_alt 'P 1'
_space_group_IT_number 1
_space_group_name_Hall 'P 1'
_cell_length_a 4.1339
_cell_length_b 4.2995
_cell_length_c 11.9263
_cell_angle_alpha 90.00
_cell_angle_beta 90.00
_cell_angle_gamma 90.00
loop_
_atom_site_label
_atom_site_type_symbol
_atom_site_fract_x
_atom_site_fract_y
_atom_site_fract_z
_atom_site_occupancy
Ca1 Ca 0.0000 0.0000 0.0000 1
Ca2 Ca 0.0000 0.5000 0.5000 1
Ac1 Ac 0.5000 0.0000 0.2801 1
Ac2 Ac 0.5000 0.5000 0.7801 1
Ga1 Ga 0.5000 0.0000 0.5725 1
Ga2 Ga 0.5000 0.5000 0.0725 1
Ni1 Ni 0.0000 0.0000 0.6922 1
Ni2 Ni 0.0000 0.5000 0.1922 1
# DOS at the Fermi energy in states/eV/cell: 6.9
# Space group: Amm2 (38)

Most stable: ii

i:
# PBE CaAcGaPb, optimized geometry
data_CaAcGaPb
_space_group_name_H-M_alt 'P 1'
_space_group_IT_number 1
_space_group_name_Hall 'P 1'
_cell_length_a 7.9133
_cell_length_b 7.9133
_cell_length_c 7.9133
_cell_angle_alpha 90.00
_cell_angle_beta 90.00
_cell_angle_gamma 90.00
loop_
_atom_site_label
_atom_site_type_symbol
_atom_site_fract_x
_atom_site_fract_y
_atom_site_fract_z
_atom_site_occupancy
Ca1 Ca 0.0000 0.0000 0.0000 1
Ca2 Ca 0.0000 0.5000 0.5000 1
Ca3 Ca 0.5000 0.0000 0.5000 1
Ca4 Ca 0.5000 0.5000 0.0000 1
Ac1 Ac 0.0000 0.0000 0.5000 1
Ac2 Ac 0.0000 0.5000 0.0000 1
Ac3 Ac 0.5000 0.0000 0.0000 1
Ac4 Ac 0.5000 0.5000 0.5000 1
Ga1 Ga 0.2500 0.2500 0.7500 1
Ga2 Ga 0.2500 0.7500 0.2500 1
Ga3 Ga 0.7500 0.2500 0.2500 1
Ga4 Ga 0.7500 0.7500 0.7500 1
Pb1 Pb 0.2500 0.2500 0.2500 1
Pb2 Pb 0.2500 0.7500 0.7500 1
Pb3 Pb 0.7500 0.2500 0.7500 1
Pb4 Pb 0.7500 0.7500 0.2500 1
# DOS at the Fermi energy in states/eV/cell: 9.3
# Space group: F-43m (216)

ii:
# PBE CaAcGaPb, optimized geometry
data_CaAcGaPb
_space_group_name_H-M_alt 'P 1'
_space_group_IT_number 1
_space_group_name_Hall 'P 1'
_cell_length_a 4.4460
_cell_length_b 4.8281
_cell_length_c 11.9849
_cell_angle_alpha 90.00
_cell_angle_beta 90.00
_cell_angle_gamma 90.00
loop_
_atom_site_label
_atom_site_type_symbol
_atom_site_fract_x
_atom_site_fract_y
_atom_site_fract_z
_atom_site_occupancy
Ca1 Ca 0.0000 0.0000 0.0000 1
Ca2 Ca 0.0000 0.5000 0.5000 1
Ac1 Ac 0.5000 0.0000 0.2734 1
Ac2 Ac 0.5000 0.5000 0.7734 1
Ga1 Ga 0.0000 0.0000 0.7159 1
Ga2 Ga 0.0000 0.5000 0.2159 1
Pb1 Pb 0.5000 0.0000 0.5577 1
Pb2 Pb 0.5000 0.5000 0.0577 1
# DOS at the Fermi energy in states/eV/cell: 4.0
# Space group: Amm2 (38)

Most stable: ii